Entry 1:
# CePu2PbN

CePu2PbN after structural relaxation (PBE, Alexandria).

a = 4.843 Å, b = 4.843 Å, c = 5.030 Å
α = 90.00°, β = 90.00°, γ = 90.00°
Space group P4/mmm (No. 123)
Inequivalent atoms, fractional coordinates:
Ce  0.000  0.000  0.000 (multiplicity 1)
Pu  0.000  0.500  0.500 (multiplicity 2)
Pb  0.500  0.500  0.000 (multiplicity 1)
N  0.000  0.000  0.500 (multiplicity 1)

E_form (uncorrected)	-0.69	eV/atom
total magnetization	12.42	μB/cell

Entry 2:
# Ce6RuPb2N

Ce6RuPb2N after structural relaxation (PBE, Alexandria).

a = 5.112 Å, b = 5.112 Å, c = 10.411 Å
α = 90.00°, β = 90.00°, γ = 90.00°
Space group P4/mmm (No. 123)
Inequivalent atoms, fractional coordinates:
Ce  0.000  0.000  0.224 (multiplicity 2)
Ce  0.000  0.500  0.000 (multiplicity 2)
Ce  0.000  0.500  0.500 (multiplicity 2)
Ru  0.000  0.000  0.500 (multiplicity 1)
Pb  0.500  0.500  0.242 (multiplicity 2)
N  0.000  0.000  0.000 (multiplicity 1)

E_form (uncorrected)	-0.53	eV/atom
total magnetization	4.61	μB/cell

Entry 3:
# Ce4SbPbN

Ce4SbPbN after structural relaxation (PBE, Alexandria).

a = 6.805 Å, b = 16.503 Å, c = 6.799 Å
α = 90.00°, β = 90.00°, γ = 90.00°
Space group Cmcm (No. 63)
Inequivalent atoms, fractional coordinates:
Ce  0.000  0.090  0.250 (multiplicity 4)
Ce  0.000  0.407  0.250 (multiplicity 4)
Ce  0.250  0.250  0.000 (multiplicity 8)
Sb  0.000  0.109  0.750 (multiplicity 4)
Pb  0.000  0.395  0.750 (multiplicity 4)
N  0.000  0.248  0.250 (multiplicity 4)

E_form (uncorrected)	-0.86	eV/atom
total magnetization	15.01	μB/cell